A geometry-optimized Re2GePPd structure, computed with GGA-PBE.

Summary:
Formation energy from the elements = 1.6957 eV/atom
SG = No. 123
Final energy = -31.6 eV/f.u.

Unit cell a=4.641 b=4.641 c=4.508 alpha=90.00 beta=90.00 gamma=90.00
Fractional positions:
Re1 0.000 0.500 0.000
Re2 0.500 0.000 0.000
Ge1 0.000 0.000 0.000
P1 0.500 0.500 0.500
Pd1 0.000 0.000 0.500